Below is a relaxed LiP3W2O13 crystal, with properties calculated at the PBE+U level.

Calculated values
E_tot (eV per atom): -7.25
Crystal system: triclinic
Magnetization (μB/f.u.): 2.0

Structure (CIF):
```
data_LiP3W2O13
_chemical_formula_sum 'Li2 P6 W4 O26'
_cell_length_a 6.510
_cell_length_b 7.611
_cell_length_c 11.485
_cell_angle_alpha 76.54
_cell_angle_beta 86.64
_cell_angle_gamma 79.73
_space_group_name_H-M_alt 'P -1'
_space_group_IT_number 2
loop_
_space_group_symop_operation_xyz
'x,y,z'
'-x,-y,-z'
loop_
_atom_site_label
_atom_site_fract_x
_atom_site_fract_y
_atom_site_fract_z
Li1 0.198 0.062 0.322
P1 0.121 0.966 0.816
P2 0.264 0.290 0.832
P3 0.267 0.434 0.386
W1 0.213 0.696 0.596
W2 0.236 0.698 0.100
O1 0.083 0.282 0.923
O2 0.106 0.304 0.386
O3 0.109 0.956 0.164
O4 0.130 0.862 0.716
O5 0.209 0.872 0.465
O6 0.224 0.606 0.285
O7 0.238 0.853 0.927
O8 0.242 0.472 0.742
O9 0.247 0.132 0.760
O10 0.257 0.489 0.507
O11 0.304 0.479 0.076
O12 0.476 0.233 0.891
O13 0.479 0.312 0.371
```